A plane-wave DFT calculation with PBE was carried out for crystalline K2MgSnAs at its relaxed geometry.

The space group is P4/mmm (No. 123) and the conventional cell measures 6.738, 6.738 and 5.327 Å, with angles of 90.00, 90.00 and 90.00 degrees. The distinct sites, in fractional coordinates, are K at (0.000, 0.500, 0.000), Mg at (0.000, 0.000, 0.500), Sn at (0.500, 0.500, 0.000) and As at (0.500, 0.500, 0.500).

The calculation puts the total DFT energy (no corrections) at -2.263 eV per atom. The energy of formation from the pure elements comes out at 0.225 eV per atom. The density is 2.033 g cm⁻³. The calculation puts the density of states at the Fermi level at 2.6 states/eV/f.u.

***

A plane-wave DFT calculation with PBE was carried out for crystalline LiOsRh2 at its relaxed geometry.

The space group is Pmm2 (No. 25) and the conventional cell measures 2.703, 3.954 and 5.141 Å, with angles of 90.00, 90.00 and 90.00 degrees. The distinct sites, in fractional coordinates, are Li at (0.000, 0.000, 0.000), Os at (0.500, 0.500, 0.281), Rh at (0.000, 0.000, 0.494) and Rh at (0.500, 0.500, 0.797).

The calculation puts the total DFT energy (no corrections) at -6.885 eV per atom. The energy of formation from the pure elements comes out at 0.077 eV per atom. The density is 12.179 g cm⁻³. The calculation puts the density of states at the Fermi level at 3.7 states/eV/f.u. The value obtained for the polymorph energy (0 for the lowest one) is 91 meV/atom.

***

> Among the records above, which one has the lowest total DFT energy (no corrections)?

LiOsRh2